DFT (PBE) results for a relaxed HfTi5In6 crystal.

Unit cell a=4.2649 b=8.0074 c=8.0074 alpha=106.31 beta=105.44 gamma=105.44
Fractional coordinates of all 12 atoms:
Ti1 0.5000 0.8317 0.1683
Ti2 0.0000 0.6683 0.3317
Ti3 0.5000 0.1683 0.8317
Ti4 0.0000 0.3317 0.6683
Ti5 0.5000 0.5000 0.5000
In1 0.7558 0.2559 0.2559
In2 0.7471 0.5792 0.9150
In3 0.2529 0.4208 0.0850
In4 0.2529 0.0850 0.4208
In5 0.2442 0.7441 0.7441
In6 0.7471 0.9150 0.5792
Hf1 0.0000 0.0000 0.0000

- density (Mg/m³) = 7.81
- DFT total energy (eV/atom) = -5.633

=====

DFT (PBE) results for a relaxed Pm5TmIn4 crystal.

Unit cell a=3.6369 b=3.6369 c=22.2330 alpha=90.00 beta=90.00 gamma=90.00
Fractional coordinates of all 10 atoms:
Pm1 0.5000 0.5000 0.5000
Pm2 0.5000 0.5000 0.6939
Pm3 0.5000 0.5000 0.1132
Pm4 0.5000 0.5000 0.3061
Pm5 0.5000 0.5000 0.8868
In1 0.0000 0.0000 0.5969
In2 0.0000 0.0000 0.4031
In3 0.0000 0.0000 0.7910
In4 0.0000 0.0000 0.2090
Tm1 0.0000 0.0000 0.0000

- density (Mg/m³) = 7.64
- DFT total energy (eV/atom) = -4.297

=====

DFT (PBE) results for a relaxed HfSnGe3 crystal.

Unit cell a=5.1177 b=5.1177 c=5.1177 alpha=90.00 beta=90.00 gamma=90.00
Fractional coordinates of all 5 atoms:
Sn1 0.0000 0.0000 0.0000
Ge1 0.0000 0.5000 0.0000
Ge2 0.0000 0.0000 0.5000
Ge3 0.5000 0.0000 0.0000
Hf1 0.5000 0.5000 0.5000

- density (Mg/m³) = 6.38
- DFT total energy (eV/atom) = -4.413
- relative energy among the computed polymorphs (meV/atom) = 733

=====

DFT (PBE) results for a relaxed Dy2YPu3S6 crystal.

Unit cell a=3.9204 b=7.8868 c=8.8044 alpha=103.34 beta=102.86 gamma=90.00
Last column: magnetic moment on the atom in μB.
Fractional coordinates of all 12 atoms:
Pu1 0.8334 0.1668 0.6668  5.36
Pu2 0.1666 0.8332 0.3332  5.36
Pu3 0.5000 0.5000 0.0000  5.36
S1 0.6661 0.0855 0.3323  -0.05
S2 0.3326 0.4189 0.6651  -0.05
S3 0.9992 0.7514 0.9984  -0.05
S4 0.3339 0.9145 0.6677  -0.05
S5 0.0008 0.2486 0.0016  -0.05
S6 0.6674 0.5811 0.3349  -0.05
Y1 0.5000 0.0000 0.0000  0.03
Dy1 0.8333 0.6667 0.6666  0.03
Dy2 0.1667 0.3333 0.3334  0.03

- density (Mg/m³) = 8.62
- DFT total energy (eV/atom) = -8.864
- formation energy (no corrections) (eV/atom) = -1.91

=====

DFT (PBE) results for a relaxed InMo2Rh crystal.

Unit cell a=4.9048 b=4.9048 c=4.9048 alpha=130.94 beta=130.94 gamma=71.90
Fractional coordinates of all 4 atoms:
In1 0.7500 0.2500 0.5000
Mo1 0.2500 0.7500 0.5000
Mo2 0.0000 0.0000 0.0000
Rh1 0.5000 0.5000 0.0000

- density (Mg/m³) = 10.33
- DFT total energy (eV/atom) = -7.779

=====

DFT (PBE) results for a relaxed Na2InGa crystal.

Unit cell a=3.3226 b=3.3226 c=11.5789 alpha=81.75 beta=81.75 gamma=60.00
Fractional coordinates of all 4 atoms:
Na1 0.0866 0.0866 0.7402
Na2 0.9134 0.9134 0.2598
In1 0.5000 0.5000 0.5000
Ga1 0.0000 0.0000 0.0000

- density (Mg/m³) = 3.51
- DFT total energy (eV/atom) = -2.000
- relative energy among the computed polymorphs (meV/atom) = 196

=====

DFT (PBE) results for a relaxed PaTiAu2 crystal.

Unit cell a=4.2517 b=4.3557 c=4.3557 alpha=90.00 beta=90.00 gamma=90.00
Last column: magnetic moment on the atom in μB.
Fractional coordinates of all 4 atoms:
Ti1 0.5000 0.0000 0.0000  0.81
Au1 0.0000 0.5000 0.0000  0.00
Au2 0.0000 0.0000 0.5000  0.00
Pa1 0.5000 0.5000 0.5000  0.56

- density (Mg/m³) = 13.85
- DFT total energy (eV/atom) = -6.240
- relative energy among the computed polymorphs (meV/atom) = 43

=====

DFT (PBE) results for a relaxed Pr3AsSeN crystal.

Unit cell a=4.1616 b=8.7554 c=9.4390 alpha=98.91 beta=90.00 gamma=90.00
Fractional coordinates of all 12 atoms:
Pr1 0.7500 0.1669 0.5082
Pr2 0.2500 0.8331 0.4918
Pr3 0.2500 0.6048 0.8424
Pr4 0.7500 0.3952 0.1576
Pr5 0.2500 0.0937 0.8426
Pr6 0.7500 0.9063 0.1574
As1 0.7500 0.8329 0.8019
As2 0.2500 0.1671 0.1981
Se1 0.2500 0.6480 0.1592
Se2 0.7500 0.3520 0.8408
N1 0.7500 0.9094 0.3998
N2 0.2500 0.0906 0.6002

- density (Mg/m³) = 5.77
- DFT total energy (eV/atom) = -6.573
- formation energy (no corrections) (eV/atom) = -1.44